No. 1
# PBEsol CaLa3Fe4O12, optimized geometry
# **Formation energy (no corrections)**: -47.44 eV per formula unit
# **Total magnetic moment**: 0.6092 μB per atom
data_CaLa3Fe4O12
_symmetry_space_group_name_H-M 'P 1 m 1'
_symmetry_Int_Tables_number 6
_cell_length_a 5.3570
_cell_length_b 7.5797
_cell_length_c 5.3901
_cell_angle_alpha 90.00
_cell_angle_beta 90.10
_cell_angle_gamma 90.00
loop_
_symmetry_equiv_pos_as_xyz
'x,y,z'
'x,-y,z'
loop_
_atom_site_label
_atom_site_type_symbol
_atom_site_fract_x
_atom_site_fract_y
_atom_site_fract_z
Ca1 Ca 0.0000 0.0000 0.0000
La1 La 0.0338 0.5000 0.0080
La2 La 0.5066 0.0000 0.5092
La3 La 0.5347 0.5000 0.5044
Fe1 Fe 0.0208 0.2455 0.5061
Fe2 Fe 0.5201 0.2458 0.0061
O1 O 0.0147 0.0000 0.4469
O2 O 0.0282 0.5000 0.5560
O3 O 0.2515 0.2176 0.7747
O4 O 0.2901 0.2738 0.2759
O5 O 0.5092 0.5000 0.9573
O6 O 0.5374 0.0000 0.0547
O7 O 0.7525 0.2294 0.7377
O8 O 0.7856 0.2824 0.2418



No. 2
# PBEsol KBa2Sr, optimized geometry
# **Total magnetic moment**: 0.0000 μB per atom
# **ΔH_f (0 K)**: 99 meV per atom
data_KBa2Sr
_symmetry_space_group_name_H-M 'P 4/m m m'
_symmetry_Int_Tables_number 123
_symmetry_space_group_name_Hall '-P 4 2'
_cell_length_a 7.1316
_cell_length_b 7.1316
_cell_length_c 4.6788
_cell_angle_alpha 90.00
_cell_angle_beta 90.00
_cell_angle_gamma 90.00
loop_
_atom_site_label
_atom_site_type_symbol
_atom_site_fract_x
_atom_site_fract_y
_atom_site_fract_z
K1 K 0.0000 0.0000 0.0000
Ba1 Ba 0.0000 0.5000 0.5000
Sr1 Sr 0.5000 0.5000 0.0000



No. 3
# PBEsol Hg2SbRu, optimized geometry
# **Formation energy (no corrections)**: 2.13 eV per formula unit
# **Total magnetic moment**: 0.1476 μB per atom
data_Hg2SbRu
_symmetry_space_group_name_H-M 'R -3 m'
_symmetry_Int_Tables_number 166
_symmetry_space_group_name_Hall '-R 3 2"'
_cell_length_a 3.1028
_cell_length_b 3.1028
_cell_length_c 29.3627
_cell_angle_alpha 90.00
_cell_angle_beta 90.00
_cell_angle_gamma 120.00
loop_
_atom_site_label
_atom_site_type_symbol
_atom_site_fract_x
_atom_site_fract_y
_atom_site_fract_z
Hg1 Hg 0.0000 0.0000 0.2397
Sb1 Sb 0.0000 0.0000 0.0000
Ru1 Ru 0.0000 0.0000 0.5000



No. 4
# PBEsol YCu2, optimized geometry
# **Total magnetic moment**: 0.0000 μB per atom
# **ΔH_f (0 K)**: -176 meV per atom
data_YCu2
_symmetry_space_group_name_H-M 'P 63/m m c'
_symmetry_Int_Tables_number 194
_symmetry_space_group_name_Hall '-P 6c 2c'
_cell_length_a 5.1804
_cell_length_b 5.1804
_cell_length_c 16.7328
_cell_angle_alpha 90.00
_cell_angle_beta 90.00
_cell_angle_gamma 120.00
loop_
_atom_site_label
_atom_site_type_symbol
_atom_site_fract_x
_atom_site_fract_y
_atom_site_fract_z
Y1 Y 0.0000 0.0000 0.0981
Y2 Y 0.3333 0.6667 0.1556
Cu1 Cu 0.0000 0.5000 0.0000
Cu2 Cu 0.1695 0.3390 0.7500
Cu3 Cu 0.3333 0.6667 0.6225